This record from Alexandria via LeMat-Bulk describes an optimized crystal structure of Pa2MoPbO8. The functional is GGA+U.

a b c (Å): 5.092 7.161 5.092
angles (deg): 90.00 91.61 90.00
Atoms (fractional coordinates):
1 Pa 0.000 0.245 0.000
2 Pa 0.000 0.755 0.000
3 Mo 0.500 0.000 0.500
4 Pb 0.500 0.500 0.500
5 O 0.169 0.500 0.830
6 O 0.193 0.000 0.806
7 O 0.301 0.208 0.301
8 O 0.301 0.792 0.301
9 O 0.699 0.208 0.699
10 O 0.699 0.792 0.699
11 O 0.807 0.000 0.194
12 O 0.831 0.500 0.170

- SG = P2/m, No. 10
- VASP energy (eV per formula unit) = -101.35